No. 1
VASP calculation (SCAN) on a crystal of TlIn relaxed with PBEsol.

```
4
Lattice="-3.066 -2.108 -0.794 -0.886 -0.662 5.181 -1.053 5.774 -2.150" Properties=species:S:1:pos:R:3 pbc="T T T"
Tl -2.485 -0.161 0.909
Tl -2.520 3.165 1.328
In -3.552 2.359 -1.660
In -1.453 0.646 3.897
```

**Mass density**: 9.86 Mg/m³
**Formation energy**: 0.061 eV/atom
**V**: 53.7 Å³/f.u.
**Crystal system**: orthorhombic

---

No. 2
VASP calculation (SCAN) on a crystal of TlIn relaxed with PBEsol.

```
4
Lattice="3.270 0.000 -0.012 0.000 5.232 0.000 -1.661 0.000 6.305" Properties=species:S:1:pos:R:3 pbc="T T T"
Tl 1.604 1.308 4.089
In -0.030 3.924 5.446
Tl 0.004 3.924 2.204
In 1.638 1.308 0.847
```

**Mass density**: 9.84 Mg/m³
**Formation energy**: 0.035 eV/atom
**V**: 53.9 Å³/f.u.
**Crystal system**: monoclinic

---

No. 3
VASP calculation (SCAN) on a crystal of Tl2In relaxed with PBEsol.

```
3
Lattice="3.298 0.000 0.000 0.000 4.950 0.000 -1.649 -2.475 4.983" Properties=species:S:1:pos:R:3 pbc="T T T"
Tl 0.000 0.000 3.329
Tl 1.649 2.475 1.654
In 0.000 0.000 0.000
```

**Mass density**: 10.69 Mg/m³
**Formation energy**: 0.050 eV/atom
**V**: 81.4 Å³/f.u.
**Crystal system**: orthorhombic

---

| no. | DOS at the Fermi energy (states/eV/cell) | calculated total energy (eV per atom) |
| --- | --- | --- |
| 1 | 1.73 | -52.81 |
| 2 | 1.44 | -52.84 |
| 3 | 1.39 | -59.32 |